No. 1
## TiCuTcO6 (PBE)

Data for a geometry-optimized TiCuTcO6 structure. Values from VASP.

Structure (Quantum ESPRESSO input):
```
&SYSTEM
  ibrav = 0, nat = 18, ntyp = 4
/
ATOMIC_SPECIES
Ti 47.87 Ti.upf
Cu 63.55 Cu.upf
Tc 98.00 Tc.upf
O 16.00 O.upf
CELL_PARAMETERS angstrom
5.009 0.000 0.000
-2.504 4.338 0.000
0.000 0.000 8.961
ATOMIC_POSITIONS angstrom
Ti 0.000 2.892 2.240
Ti 2.504 1.446 6.720
Cu 0.000 0.000 0.000
Cu 0.000 0.000 4.480
Tc 0.000 2.892 6.720
Tc 2.504 1.446 2.240
O -0.851 1.533 5.656
O -1.603 2.834 7.785
O 0.851 1.533 7.785
O -0.751 4.309 5.656
O 1.753 0.029 1.176
O 0.902 1.504 3.305
O 1.603 2.834 5.656
O 0.751 4.309 7.785
O 3.256 0.029 3.305
O 1.653 2.805 1.176
O 4.107 1.504 1.176
O 3.356 2.805 3.305
```

Computed properties:
Formation energy (no corrections) in eV/atom: -1.62
M_tot in μB per atom: 0.000
Crystal system: trigonal
Theoretical density in g/cm3: 5.21

---

No. 2
## Tl2CuTcO6 (PBE)

Data for a geometry-optimized Tl2CuTcO6 structure. Values from VASP.

Structure (Quantum ESPRESSO input):
```
&SYSTEM
  ibrav = 0, nat = 10, ntyp = 4
/
ATOMIC_SPECIES
Tl 204.38 Tl.upf
Cu 63.55 Cu.upf
Tc 98.00 Tc.upf
O 16.00 O.upf
CELL_PARAMETERS angstrom
6.051 0.000 0.000
-3.026 5.241 0.000
0.000 0.000 5.071
ATOMIC_POSITIONS angstrom
Tl 0.000 3.494 1.093
Tl 3.026 1.747 3.978
Cu 0.000 0.000 0.000
Tc 0.000 0.000 2.536
O 0.000 1.513 3.711
O -1.715 4.484 3.711
O 1.311 0.757 1.360
O 1.715 4.484 3.711
O 4.741 0.757 1.360
O 3.026 3.727 1.360
```

Computed properties:
Formation energy (no corrections) in eV/atom: -0.71
M_tot in μB per atom: 0.200
Crystal system: trigonal
Theoretical density in g/cm3: 6.88

---

No. 3
## Tl2Cu2TcO6 (PBE)

Data for a geometry-optimized Tl2Cu2TcO6 structure. Values from VASP.

Structure (Quantum ESPRESSO input):
```
&SYSTEM
  ibrav = 0, nat = 11, ntyp = 4
/
ATOMIC_SPECIES
Tl 204.38 Tl.upf
Cu 63.55 Cu.upf
Tc 98.00 Tc.upf
O 16.00 O.upf
CELL_PARAMETERS angstrom
2.946 1.701 5.434
-2.946 1.701 5.434
0.000 -3.401 5.434
ATOMIC_POSITIONS angstrom
Tl 0.000 0.000 3.505
Tl 0.000 0.000 12.798
Cu 0.000 0.000 6.519
Cu 0.000 0.000 9.783
Tc 0.000 0.000 0.000
O 0.000 -1.859 6.583
O -1.610 0.930 6.583
O -1.610 -0.930 9.719
O 1.610 0.930 6.583
O 1.610 -0.930 9.719
O 0.000 1.859 9.719
```

Computed properties:
Formation energy (no corrections) in eV/atom: -0.84
M_tot in μB per atom: 0.099
Crystal system: trigonal
Theoretical density in g/cm3: 7.42

---

No. 4
## UCuTcO6 (PBE)

Data for a geometry-optimized UCuTcO6 structure. Values from VASP.

Structure (Quantum ESPRESSO input):
```
&SYSTEM
  ibrav = 0, nat = 18, ntyp = 4
/
ATOMIC_SPECIES
U 238.03 U.upf
Cu 63.55 Cu.upf
Tc 98.00 Tc.upf
O 16.00 O.upf
CELL_PARAMETERS angstrom
5.351 0.000 0.000
-2.675 4.634 0.000
0.000 0.000 8.971
ATOMIC_POSITIONS angstrom
U 0.000 3.089 2.243
U 2.675 1.545 6.729
Cu 0.000 0.000 0.000
Cu 0.000 0.000 4.486
Tc 0.000 3.089 6.729
Tc 2.675 1.545 2.243
O -0.866 1.638 5.662
O -1.690 3.065 7.795
O 0.866 1.638 7.795
O -0.824 4.565 5.662
O 1.851 0.069 1.176
O 0.986 1.569 3.310
O 1.690 3.065 5.662
O 0.824 4.565 7.795
O 3.499 0.069 3.310
O 1.810 2.996 1.176
O 4.365 1.569 1.176
O 3.541 2.996 3.310
```

Computed properties:
Formation energy (no corrections) in eV/atom: -1.86
M_tot in μB per atom: 0.215
Crystal system: trigonal
Theoretical density in g/cm3: 7.40